The following is a DFT calculation (PBE) of CuCO3 after structural relaxation.

```
data_CuCO3
_chemical_formula_sum 'Cu2 C2 O6'
_symmetry_space_group_name_H-M 'P 1 21 1'
_symmetry_Int_Tables_number 4
_cell_length_a 2.879
_cell_length_b 5.317
_cell_length_c 9.678
_cell_angle_alpha 90.00
_cell_angle_beta 90.64
_cell_angle_gamma 90.00
loop_
_symmetry_equiv_pos_as_xyz
'x,y,z'
'-x,y+1/2,-z'
loop_
_atom_site_label
_atom_site_type_symbol
_atom_site_fract_x
_atom_site_fract_y
_atom_site_fract_z
Cu1 Cu 0.000 0.000 0.000
C1 C 0.254 0.211 0.350
O1 O 0.106 0.010 0.323
O2 O 0.400 0.412 0.376
O3 O 0.499 0.750 0.979
```

**Uncorrected formation energy**: -0.899 eV/atom
**Electronic total energy**: -6.538 eV per atom

The following is a DFT calculation (PBE) of YHgBO2 after structural relaxation.

```
data_YHgBO2
_chemical_formula_sum 'Y1 Hg1 B1 O2'
_symmetry_space_group_name_H-M 'P 4/m m m'
_symmetry_Int_Tables_number 123
_symmetry_space_group_name_Hall '-P 4 2'
_cell_length_a 4.294
_cell_length_b 4.294
_cell_length_c 5.460
_cell_angle_alpha 90.00
_cell_angle_beta 90.00
_cell_angle_gamma 90.00
loop_
_atom_site_label
_atom_site_type_symbol
_atom_site_fract_x
_atom_site_fract_y
_atom_site_fract_z
Y1 Y 0.000 0.000 0.000
Hg1 Hg 0.500 0.500 0.500
B1 B 0.000 0.000 0.500
O1 O 0.000 0.500 0.000
```

**Uncorrected formation energy**: -0.230 eV/atom
**Electronic total energy**: -4.902 eV per atom

The following is a DFT calculation (PBE) of V2Pd3Pt3 after structural relaxation.

```
data_V2Pd3Pt3
_chemical_formula_sum 'V4 Pd6 Pt6'
_symmetry_space_group_name_H-M 'C 1 2/m 1'
_symmetry_Int_Tables_number 12
_cell_length_a 12.116
_cell_length_b 4.657
_cell_length_c 4.650
_cell_angle_alpha 90.00
_cell_angle_beta 112.50
_cell_angle_gamma 90.00
loop_
_symmetry_equiv_pos_as_xyz
'x,y,z'
'-x,-y,-z'
'-x,y,-z'
'x,-y,z'
'x+1/2,y+1/2,z'
'-x+1/2,-y+1/2,-z'
'-x+1/2,y+1/2,-z'
'x+1/2,-y+1/2,z'
loop_
_atom_site_label
_atom_site_type_symbol
_atom_site_fract_x
_atom_site_fract_y
_atom_site_fract_z
V1 V 0.246 0.000 0.246
Pd1 Pd 0.000 0.500 0.500
Pd2 Pd 0.129 0.500 0.129
Pt1 Pt 0.000 0.000 0.000
Pt2 Pt 0.134 0.000 0.633
```

**Excess energy over the best structure of this formula in the dataset**: 0.000 eV per atom
**Electronic total energy**: -6.750 eV per atom
**Energy of formation**: -257 meV per atom

no.,total magnetization (μB/f.u.)
1,0.00
2,0.00
3,1.30